[1]
Material: TiMo2Br
Method: DFT, PBE-GGA
State: relaxed

Excess energy over the best structure of this formula in the dataset   0.44 eV/f.u.
Theoretical density   8.20 g/cm³
Spin magnetization   0.0000 μB/atom
Formation energy without anion corrections   780 meV/atom

a b c (Å): 6.3728 6.3728 6.3728
angles (deg): 90.00 90.00 90.00
With the nearest neighbours (Å) after each atom.
Space group Fm-3m (No. 225)
One atom of each set of equivalent atoms:
Ti  0.0000  0.0000  0.0000 x4  8 Mo 2.76
Mo  0.2500  0.2500  0.2500 x8  4 Br 2.76, 4 Ti 2.76
Br  0.0000  0.0000  0.5000 x4  8 Mo 2.76


[2]
Material: Tb6PrS8
Method: DFT, PBE-GGA
State: relaxed

Theoretical density   6.52 g/cm³
Spin magnetization   0.0000 μB/atom
Formation energy without anion corrections   -2037 meV/atom

a b c (Å): 11.1209 11.1209 11.1209
angles (deg): 90.00 90.00 90.00
With the nearest neighbours (Å) after each atom.
Space group Fm-3m (No. 225)
One atom of each set of equivalent atoms:
Tb  0.0000  0.2500  0.2500 x24  6 S 2.78
Pr  0.0000  0.0000  0.0000 x4  6 S 2.87
S  0.0000  0.0000  0.2580 x24  4 Tb 2.78, 1 Pr 2.87
S  0.2500  0.2500  0.2500 x8  6 Tb 2.78


[3]
Material: Co2ReH2
Method: DFT, PBE-GGA
State: relaxed

Excess energy over the best structure of this formula in the dataset   1.46 eV/f.u.
Theoretical density   11.68 g/cm³
Spin magnetization   0.0910 μB/atom

a b c (Å): 5.7165 5.7165 2.6632
angles (deg): 90.00 90.00 90.00
With the nearest neighbours (Å) after each atom.
Space group P4/mbm (No. 127)
One atom of each set of equivalent atoms:
Co  0.1434  0.3566  0.0000 x4  2 H 1.70
Re  0.0000  0.0000  0.5000 x2  4 H 2.03
H  0.2254  0.7254  0.5000 x4  2 Co 1.70


[4]
Material: CaAgPd2
Method: DFT, PBE-GGA
State: relaxed

Excess energy over the best structure of this formula in the dataset   0.48 eV/f.u.
Theoretical density   7.89 g/cm³
Spin magnetization   0.0000 μB/atom
Formation energy   -0.36 eV per atom

a b c (Å): 3.4855 3.4855 6.2479
angles (deg): 90.00 90.00 90.00
With the nearest neighbours (Å) after each atom.
Space group P4/mmm (No. 123)
One atom of each set of equivalent atoms:
Ca  0.0000  0.0000  0.0000 x1  8 Pd 2.99, 2 Ag 3.12
Ag  0.0000  0.0000  0.5000 x1  8 Pd 2.85, 2 Ca 3.12
Pd  0.5000  0.5000  0.2707 x2  4 Ag 2.85, 1 Pd 2.87, 4 Ca 2.99


[5]
Material: Na3Sn2Pt3
Method: DFT, PBE-GGA
State: relaxed

Theoretical density   8.43 g/cm³
Spin magnetization   0.0000 μB/atom
Formation energy   -0.31 eV per atom

a b c (Å): 5.5205 5.5205 19.9614
angles (deg): 90.00 90.00 120.00
With the nearest neighbours (Å) after each atom.
Space group R-3m (No. 166, hexagonal axes)
One atom of each set of equivalent atoms:
Na  0.0000  0.0000  0.0000 x3  6 Sn 3.37, 6 Pt 3.69, 6 Na 3.73
Na  0.0000  0.0000  0.4303 x6  1 Na 2.78, 1 Sn 3.04, 6 Pt 3.09
Sn  0.0000  0.0000  0.2778 x6  3 Pt 2.73, 1 Na 3.04
Pt  0.0000  0.5000  0.5000 x9  2 Sn 2.73, 4 Pt 2.76


[6]
Material: TeHPt2
Method: DFT, PBE-GGA
State: relaxed

Excess energy over the best structure of this formula in the dataset   2.18 eV/f.u.
Theoretical density   13.73 g/cm³
Spin magnetization   0.0000 μB/atom

a b c (Å): 6.3085 6.3085 6.3085
angles (deg): 90.00 90.00 90.00
With the nearest neighbours (Å) after each atom.
Space group Fm-3m (No. 225)
One atom of each set of equivalent atoms:
Te  0.0000  0.0000  0.0000 x4  8 Pt 2.73
H  0.0000  0.0000  0.5000 x4  8 Pt 2.73
Pt  0.2500  0.2500  0.2500 x8  4 H 2.73, 4 Te 2.73